DFT (GGA-PBE) results for an optimized crystal structure of Er3Cu4Ag2.

Unit cell a=10.3651 b=4.4155 c=8.3255 alpha=90.00 beta=114.37 gamma=90.00
Closest atoms and distances in Å follow each position.
Space group C2/m (No. 12)
Inequivalent atoms, fractional coordinates:
Er  0.0000  0.0000  0.0000 (multiplicity 2)  8 Cu 2.98-3.18, 4 Ag 3.19
Er  0.1511  0.5000  0.6830 (multiplicity 4)  7 Cu 2.84-3.04, 4 Ag 3.06-3.15
Cu  0.0672  0.0000  0.4083 (multiplicity 4)  1 Cu 2.46, 2 Ag 2.61
Cu  0.2334  0.5000  0.0540 (multiplicity 4)  2 Cu 2.46, 1 Ag 2.61
Ag  0.1381  0.5000  0.2989 (multiplicity 4)  3 Cu 2.61

energy of formation from the pure elements: -0.2418 eV/atom
raw total energy: -4.2169 eV per atom
M_tot: 0.00 μB/f.u.